1.
LaTaV2 PBE relaxed; energy above the most stable polymorph in this dataset = 405 meV per atom; energy relative to the elements = 0.9360 eV/atom
1.0
-3.6996 3.6996 2.8975
3.6996 -3.6996 2.8975
3.6996 3.6996 -2.8975
La Ta V
2 2 4
Cartesian
0.0000 0.0000 0.0000
0.0000 3.6996 1.4487
3.6996 0.0000 1.4487
0.0000 0.0000 2.8975
1.8498 -1.6943 2.1731
2.0053 1.8498 0.7244
1.8498 5.3940 -0.7244
1.6943 1.8498 3.6218


2.
Rb3Hg2PdF9 PBE relaxed; formation energy from raw total energies = -1.927 eV per atom
1.0
6.4217 0.0000 0.0000
-3.2109 5.5614 0.0000
0.0000 0.0000 7.8715
Rb Hg Pd F
3 2 1 9
Cartesian
0.0000 0.0000 0.0000
0.0000 3.7076 5.2300
3.2109 1.8538 2.6415
0.0000 3.7076 1.3718
3.2109 1.8538 6.4997
0.0000 0.0000 3.9358
-1.6054 2.7807 0.0000
0.0000 1.7960 2.6804
-1.6554 4.6634 2.6804
1.5554 0.8980 5.1911
3.2109 0.0000 0.0000
1.6054 2.7807 0.0000
1.6554 4.6634 2.6804
4.8663 0.8980 5.1911
3.2109 3.7653 5.1911


3.
NaSc2I6 PBE relaxed; energy above the most stable polymorph in this dataset = 53 meV per atom; formation energy from raw total energies = -1.176 eV per atom
1.0
3.8326 2.2128 6.8042
-3.8326 2.2128 6.8042
0.0000 -4.4255 6.8042
Na Sc I
1 2 6
Cartesian
0.0000 0.0000 0.0000
0.0000 0.0000 3.7684
0.0000 0.0000 7.1572
-1.1368 -2.2372 8.8350
-2.4790 0.2762 12.2492
-1.3690 2.1031 8.8350
1.0003 -2.2850 12.2492
2.5059 0.1341 8.8350
1.4787 2.0088 12.2492


4.
AcInAu3 PBE relaxed; energy above the most stable polymorph in this dataset = 24 meV per atom; energy relative to the elements = -0.5615 eV/atom
1.0
3.4692 -5.9903 0.0000
3.4692 5.9903 0.0000
0.0000 0.0000 6.0577
Ac In Au
2 2 6
Cartesian
3.4692 3.9866 4.5433
3.4692 -3.9866 1.5144
3.4692 0.0000 0.0000
3.4692 0.0000 3.0289
1.4002 1.1815 4.5433
1.4002 -1.1815 1.5144
3.4692 2.3811 1.5144
3.4692 -2.3811 4.5433
5.5382 1.1815 4.5433
5.5382 -1.1815 1.5144


5.
SmZn3Co PBE relaxed; energy relative to the elements = -0.1070 eV/atom
1.0
4.5631 0.0000 0.0000
0.0000 4.5631 0.0000
0.0000 0.0000 4.5631
Sm Zn Co
1 3 1
Cartesian
0.0000 0.0000 0.0000
0.0000 2.2816 2.2816
2.2816 0.0000 2.2816
2.2816 2.2816 0.0000
2.2816 2.2816 2.2816


6.
TiNbCu PBE relaxed; energy above the most stable polymorph in this dataset = 0 meV per atom; energy relative to the elements = -0.0935 eV/atom
1.0
3.2327 0.0000 0.0000
0.0000 3.2327 0.0000
0.0000 0.0000 9.0528
Ti Nb Cu
2 2 2
Cartesian
0.8082 0.8082 2.0580
2.4245 2.4245 6.9948
0.8082 0.8082 5.3436
2.4245 2.4245 3.7092
0.8082 0.8082 8.4139
2.4245 2.4245 0.6389


Values of calculated volume, in order: 19.83, 18.74, 38.47, 25.18, 19.00, 15.77, all in Å³ per atom.